Record 1
A plane-wave DFT calculation with GGA-PBE was carried out for MnTeRu2 after structural relaxation.

Lattice parameters (Å, degrees): 5.2553 5.2553 5.2553 144.28 131.11 62.01
Each line ends with the local moment (μB).
Fractional coordinates of all 4 atoms:
Mn 0.2514 0.7514 0.5000  3.34
Ru 0.0118 0.0118 0.0000  0.11
Ru 0.7365 0.2365 0.5000  0.31
Te 0.5003 0.5003 0.0000  -0.01

Formation energy from raw total energies = 0.34 eV/atom
Density = 10.1 g/cm3
Crystal system = orthorhombic
Energy = -29.52 eV per formula unit

---

Record 2
A plane-wave DFT calculation with GGA-PBE was carried out for Mg3PdPt after structural relaxation.

Lattice parameters (Å, degrees): 4.8876 4.8876 4.8876 90.00 90.00 90.00
Fractional coordinates of all 5 atoms:
Mg 0.0000 0.5000 0.0000
Mg 0.0000 0.0000 0.5000
Mg 0.5000 0.0000 0.0000
Pd 0.5000 0.5000 0.5000
Pt 0.0000 0.0000 0.0000

ΔH_f (0 K) = -0.130 eV per atom
Density = 5.3 g/cm3
Crystal system = cubic
Energy = -16.66 eV per formula unit
E above lowest polymorph = 550 meV/atom